1.
The following is a DFT calculation (PBE-GGA) of a relaxed BaZn3Rh crystal.

The calculation puts the distance to the lowest polymorph of the same formula at 0.4211 eV/atom. The value obtained for the formation energy is 0.065 eV per atom. The mass density comes out at 3580 kg/m³.

The structure in POSCAR format:
```
BaZn3Rh
1.0
3.748 -11.646 0.000
3.748 11.646 0.000
0.000 0.000 4.637
Zn Rh Ba
6 2 2
Direct
0.581 0.089 0.250
0.911 0.419 0.250
0.089 0.581 0.750
0.419 0.911 0.750
0.000 0.000 0.000
0.000 0.000 0.500
0.261 0.739 0.250
0.739 0.261 0.750
0.139 0.861 0.250
0.861 0.139 0.750
```



2.
The following is a DFT calculation (PBE-GGA) of a relaxed H2Pd3Au3 crystal.

For the total energy, the calculation gives -0.2987 Ry per atom. The mass density comes out at 14135 kg/m³.

The structure in POSCAR format:
```
H2Pd3Au3
1.0
2.956 0.000 -0.657
-0.460 4.412 -2.071
0.516 -2.443 9.305
H Pd Au
2 3 3
Direct
0.786 0.707 0.571
0.214 0.293 0.429
0.338 0.698 0.677
0.500 0.500 0.000
0.662 0.302 0.323
0.839 0.210 0.678
0.161 0.790 0.322
0.000 0.000 0.000
```



3.
The following is a DFT calculation (PBE-GGA) of a relaxed HoAlTl crystal.

The calculation puts the distance to the lowest polymorph of the same formula at 0.0000 eV/atom. The value obtained for the formation energy is -0.256 eV per atom. The mass density comes out at 9412 kg/m³.

The structure in POSCAR format:
```
HoAlTl
1.0
-0.659 -3.464 -0.086
4.457 -0.810 -1.540
-0.936 0.062 4.692
Tl Ho Al
1 1 1
Direct
0.166 0.000 0.000
0.667 0.667 0.333
0.167 0.333 0.667
```



4.
The following is a DFT calculation (PBE-GGA) of a relaxed Mo3Os crystal.

The calculation puts the distance to the lowest polymorph of the same formula at 0.1187 eV/atom. The value obtained for the formation energy is 0.120 eV per atom. The mass density comes out at 12793 kg/m³.

The structure in POSCAR format:
```
Mo3Os
1.0
-2.654 0.226 3.587
1.587 -4.777 -1.308
2.431 -0.728 1.845
Mo Os
3 1
Direct
0.009 0.019 0.991
0.250 0.500 0.250
0.491 0.981 0.509
0.750 0.500 0.750
```



Number 1: M_tot 0.0 μB per cell. Number 2: M_tot 0.0 μB per cell. Number 3: M_tot 0.0 μB per cell. Number 4: M_tot 0.0 μB per cell.